1.
Compound: AlBiAs2Se
Source: the Alexandria database
Functional: PBE
Structure: relaxed

The space group is P4/mmm (No. 123) and the conventional cell measures 4.929, 4.929 and 4.892 Å, with angles of 90.00, 90.00 and 90.00 degrees. Symmetry generates all atoms from Al at (0.000, 0.000, 0.000), Bi at (0.500, 0.500, 0.500), As at (0.000, 0.500, 0.000) and Se at (0.000, 0.000, 0.500).

The value obtained for the relative energy among the computed polymorphs is 0.0000 eV per atom. The calculation puts the uncorrected formation energy at 0.24 eV/atom. The crystal system is tetragonal.

---

2.
Compound: AlBiAs2Se
Source: the Alexandria database
Functional: PBE
Structure: relaxed

The space group is P4/mmm (No. 123) and the conventional cell measures 5.468, 5.468 and 5.587 Å, with angles of 90.00, 90.00 and 90.00 degrees. Symmetry generates all atoms from Al at (0.000, 0.000, 0.000), Bi at (0.500, 0.500, 0.500), As at (0.000, 0.500, 0.500) and Se at (0.500, 0.500, 0.000).

The value obtained for the relative energy among the computed polymorphs is 0.6860 eV per atom. The calculation puts the uncorrected formation energy at 0.93 eV/atom. The crystal system is tetragonal.

---

3.
Compound: Sr2AlBiAs
Source: the Alexandria database
Functional: PBE
Structure: relaxed

The space group is P2_1/m (No. 11) and the conventional cell measures 7.544, 4.640 and 9.907 Å, with angles of 90.00, 106.59 and 90.00 degrees. Symmetry generates all atoms from Sr at (0.217, 0.250, 0.398), Sr at (0.245, 0.250, 0.989), Al at (0.490, 0.750, 0.249), Bi at (0.296, 0.750, 0.697) and As at (0.160, 0.750, 0.181).

The value obtained for the relative energy among the computed polymorphs is 0.0000 eV per atom. The formation energy is -0.73 eV/atom. The crystal system is monoclinic.

---

4.
Compound: Sr2AlBiAs
Source: the Alexandria database
Functional: PBE
Structure: relaxed

The space group is P4/mmm (No. 123) and the conventional cell measures 6.269, 6.269 and 5.259 Å, with angles of 90.00, 90.00 and 90.00 degrees. Symmetry generates all atoms from Sr at (0.000, 0.500, 0.000), Al at (0.000, 0.000, 0.500), Bi at (0.000, 0.000, 0.000) and As at (0.500, 0.500, 0.500).

The value obtained for the relative energy among the computed polymorphs is 0.7833 eV per atom. The formation energy is 0.05 eV/atom. The crystal system is tetragonal.

---

5.
Compound: AlBi2AsW
Source: the Alexandria database
Functional: PBE
Structure: relaxed

The space group is P4/mmm (No. 123) and the conventional cell measures 5.645, 5.645 and 4.729 Å, with angles of 90.00, 90.00 and 90.00 degrees. Symmetry generates all atoms from Al at (0.000, 0.000, 0.000), Bi at (0.000, 0.500, 0.500), As at (0.500, 0.500, 0.500) and W at (0.500, 0.500, 0.000).

The formation energy is 1.21 eV/atom. The crystal system is tetragonal.

---

6.
Compound: AlAsBr2
Source: the Alexandria database
Functional: PBE
Structure: relaxed

The space group is P4/mmm (No. 123) and the conventional cell measures 3.231, 3.231 and 10.103 Å, with angles of 90.00, 90.00 and 90.00 degrees. Symmetry generates all atoms from Al at (0.000, 0.000, 0.000), As at (0.000, 0.000, 0.500) and Br at (0.500, 0.500, 0.165).

The value obtained for the relative energy among the computed polymorphs is 0.6441 eV per atom. The calculation puts the uncorrected formation energy at 0.24 eV/atom. The crystal system is tetragonal.

---

7.
Compound: Al2AsBr
Source: the Alexandria database
Functional: PBE
Structure: relaxed

The space group is P2/m (No. 10) and the conventional cell measures 3.963, 3.949 and 5.636 Å, with angles of 90.00, 90.22 and 90.00 degrees. Symmetry generates all atoms from Al at (0.000, 0.000, 0.000), Al at (0.500, 0.500, 0.500), As at (0.000, 0.000, 0.500) and Br at (0.500, 0.500, 0.000).

The value obtained for the relative energy among the computed polymorphs is 0.1399 eV per atom. The calculation puts the uncorrected formation energy at -0.06 eV/atom. The crystal system is monoclinic.

---

8.
Compound: Al2AsBr
Source: the Alexandria database
Functional: PBE
Structure: relaxed

The space group is Pmmm (No. 47) and the conventional cell measures 3.125, 4.985 and 5.219 Å, with angles of 90.00, 90.00 and 90.00 degrees. Symmetry generates all atoms from Al at (0.000, 0.000, 0.000), Al at (0.500, 0.000, 0.500), As at (0.000, 0.500, 0.500) and Br at (0.500, 0.500, 0.000).

The value obtained for the relative energy among the computed polymorphs is 0.4672 eV per atom. The calculation puts the uncorrected formation energy at 0.27 eV/atom. The crystal system is orthorhombic.